1.
A relaxed TbPm6NdTm2 crystal, computed with PBE-GGA.

a b c (Å): 9.6659 8.8977 8.8977
angles (deg): 117.27 93.94 93.94
Last column: nearest neighbours and their distance in Å.
Atoms (fractional coordinates):
1 Pm 0.3174 0.9841 0.4363  2 Pm 3.25-3.58, 1 Tm 3.48, 1 Nd 3.49, 1 Tb 3.57
2 Pm 0.1194 0.7053 0.4885  3 Pm 3.25-3.43, 3 Tm 3.32-3.48, 2 Nd 3.47-3.57
3 Pm 0.6194 0.4885 0.7053  3 Pm 3.25-3.43, 3 Tm 3.32-3.48, 2 Nd 3.47-3.57
4 Pm 0.6826 0.0159 0.5637  2 Pm 3.25-3.58, 1 Tm 3.48, 1 Nd 3.49, 1 Tb 3.57
5 Pm 0.8174 0.4363 0.9841  2 Pm 3.25-3.58, 1 Tm 3.48, 1 Nd 3.49, 1 Tb 3.57
6 Pm 0.8806 0.2947 0.5115  3 Pm 3.25-3.43, 3 Tm 3.32-3.48, 2 Nd 3.47-3.57
7 Tm 0.0471 0.2943 0.1972  6 Pm 3.32-3.67, 2 Tb 3.41-3.43, 1 Nd 3.58
8 Tm 0.9529 0.7057 0.8028  6 Pm 3.32-3.67, 2 Tb 3.41-3.43, 1 Nd 3.58
9 Pm 0.5551 0.7596 0.1111  7 Pm 3.43-3.80, 1 Tm 3.47, 2 Tb 3.66-3.79
10 Tb 0.2500 0.9695 0.0305  4 Tm 3.41-3.43, 6 Pm 3.57-3.79
11 Tb 0.7500 0.0305 0.9695  4 Tm 3.41-3.43, 6 Pm 3.57-3.79
12 Pm 0.4449 0.2404 0.8889  7 Pm 3.43-3.80, 1 Tm 3.47, 2 Tb 3.66-3.79
13 Pm 0.0551 0.1111 0.7596  7 Pm 3.43-3.80, 1 Tm 3.47, 2 Tb 3.66-3.79
14 Nd 0.2500 0.4071 0.5929  6 Pm 3.47-3.57, 2 Tm 3.58
15 Tm 0.4529 0.8028 0.7057  6 Pm 3.32-3.67, 2 Tb 3.41-3.43, 1 Nd 3.58
16 Pm 0.1826 0.5637 0.0159  2 Pm 3.25-3.58, 1 Tm 3.48, 1 Nd 3.49, 1 Tb 3.57
17 Pm 0.3806 0.5115 0.2947  3 Pm 3.25-3.43, 3 Tm 3.32-3.48, 2 Nd 3.47-3.57
18 Nd 0.7500 0.5929 0.4071  6 Pm 3.47-3.57, 2 Tm 3.58
19 Tm 0.5471 0.1972 0.2943  6 Pm 3.32-3.67, 2 Tb 3.41-3.43, 1 Nd 3.58
20 Pm 0.9449 0.8889 0.2404  7 Pm 3.43-3.80, 1 Tm 3.47, 2 Tb 3.66-3.79

Calculated values
- DFT formation energy (meV per atom) = 117

---

2.
A relaxed TbPmNd2Tm5 crystal, computed with PBE-GGA.

a b c (Å): 8.6661 8.6661 9.8387
angles (deg): 116.13 116.13 90.00
Last column: nearest neighbours and their distance in Å.
Atoms (fractional coordinates):
1 Tm 0.5725 0.6508 0.7234  1 Nd 3.00, 1 Tb 3.10
2 Tb 0.7500 0.2500 0.5000  4 Tm 3.10
3 Tm 0.0725 0.5725 0.7234  1 Nd 3.00, 1 Tb 3.10
4 Tm 0.1508 0.0725 0.7234  1 Nd 3.00, 1 Tb 3.10
5 Nd 0.3831 0.8831 0.0000  1 Nd 2.86, 2 Tm 3.00
6 Tm 0.4275 0.3492 0.2766  1 Nd 3.00, 1 Tb 3.10
7 Nd 0.8831 0.6169 0.0000  1 Nd 2.86, 2 Tm 3.00
8 Tm 0.9275 0.4275 0.2766  1 Nd 3.00, 1 Tb 3.10
9 Tm 0.0000 0.0000 0.0000  4 Nd 3.47, 8 Tm 3.76, 2 Pm 3.85
10 Tm 0.8492 0.9275 0.2766  1 Nd 3.00, 1 Tb 3.10
11 Pm 0.7500 0.7500 0.5000  10 Tm 3.55-3.85
12 Nd 0.6169 0.1169 0.0000  1 Nd 2.86, 2 Tm 3.00
13 Tm 0.5000 0.5000 0.0000  4 Nd 3.47, 8 Tm 3.76, 2 Pm 3.85
14 Pm 0.2500 0.2500 0.5000  10 Tm 3.55-3.85
15 Tb 0.2500 0.7500 0.5000  4 Tm 3.10
16 Nd 0.1169 0.3831 0.0000  1 Nd 2.86, 2 Tm 3.00
17 Tm 0.6508 0.1508 0.7234  1 Nd 3.00, 1 Tb 3.10
18 Tm 0.3492 0.8492 0.2766  1 Nd 3.00, 1 Tb 3.10

Calculated values
- DFT formation energy (meV per atom) = 262

---

3.
A relaxed TbPmNd5Tm2 crystal, computed with PBE-GGA.

a b c (Å): 5.6635 10.5885 10.7440
angles (deg): 90.00 90.00 105.51
Last column: nearest neighbours and their distance in Å.
Atoms (fractional coordinates):
1 Nd 0.6099 0.2198 0.5250  6 Nd 3.54-3.95, 4 Tm 3.62-3.65, 1 Pm 3.87
2 Nd 0.0163 0.0325 0.0218  2 Tb 3.27, 3 Tm 3.48-3.59
3 Tm 0.8896 0.7791 0.2392  1 Pm 3.44, 7 Nd 3.48-3.81, 2 Tb 3.70
4 Nd 0.9837 0.9675 0.5218  2 Tb 3.27, 3 Tm 3.48-3.59
5 Pm 0.7996 0.5992 0.5098  2 Tm 3.44-3.71, 7 Nd 3.52-3.83, 2 Tb 3.68
6 Tm 0.1162 0.2325 0.3160  9 Nd 3.37-3.76, 1 Pm 3.71
7 Nd 0.4796 0.9592 0.7424  2 Tb 3.21-3.37, 2 Tm 3.53, 2 Nd 3.54
8 Pm 0.2004 0.4008 0.0098  2 Tm 3.44-3.71, 7 Nd 3.52-3.83, 2 Tb 3.68
9 Tm 0.8838 0.7675 0.8160  9 Nd 3.37-3.76, 1 Pm 3.71
10 Nd 0.2813 0.5626 0.3095  1 Tb 3.08, 1 Tm 3.37, 2 Nd 3.44
11 Nd 0.2964 0.5928 0.7038  3 Nd 3.44-3.76, 3 Pm 3.52-3.83, 1 Tb 3.54, 3 Tm 3.56-3.81
12 Nd 0.3901 0.7802 0.0250  6 Nd 3.54-3.95, 4 Tm 3.62-3.65, 1 Pm 3.87
13 Tb 0.4109 0.8219 0.4566  5 Nd 3.08-3.37
14 Nd 0.7187 0.4374 0.8095  1 Tb 3.08, 1 Tm 3.37, 2 Nd 3.44
15 Tb 0.5891 0.1781 0.9566  5 Nd 3.08-3.37
16 Nd 0.7036 0.4072 0.2038  3 Nd 3.44-3.76, 3 Pm 3.52-3.83, 1 Tb 3.54, 3 Tm 3.56-3.81
17 Nd 0.5204 0.0408 0.2424  2 Tb 3.21-3.37, 2 Tm 3.53, 2 Nd 3.54
18 Tm 0.1104 0.2209 0.7392  1 Pm 3.44, 7 Nd 3.48-3.81, 2 Tb 3.70

Calculated values
- DFT formation energy (meV per atom) = 147

---

4.
A relaxed TbPm4Nd2Tm crystal, computed with PBE-GGA.

a b c (Å): 9.5872 9.5872 11.9473
angles (deg): 128.41 128.41 88.23
Last column: nearest neighbours and their distance in Å.
Atoms (fractional coordinates):
1 Tb 0.0000 0.5000 0.5000  6 Pm 3.32-3.47, 2 Nd 3.45
2 Pm 0.7437 0.2560 0.5027  1 Tm 3.26, 3 Nd 3.41-3.49, 2 Tb 3.43-3.47, 2 Pm 3.45
3 Pm 0.2796 0.2827 0.0352  2 Tm 3.31-3.51, 1 Tb 3.32, 3 Nd 3.37-3.61, 2 Pm 3.45
4 Pm 0.7827 0.7796 0.5352  2 Tm 3.31-3.51, 1 Tb 3.32, 3 Nd 3.37-3.61, 2 Pm 3.45
5 Pm 0.2563 0.7440 0.4973  1 Tm 3.26, 3 Nd 3.41-3.49, 2 Tb 3.43-3.47, 2 Pm 3.45
6 Tb 0.0000 0.5000 0.0000  6 Pm 3.32-3.47, 2 Nd 3.45
7 Pm 0.7560 0.2437 0.0027  1 Tm 3.26, 3 Nd 3.41-3.49, 2 Tb 3.43-3.47, 2 Pm 3.45
8 Nd 0.5000 0.0000 0.0000  6 Pm 3.37-3.49, 2 Tb 3.45
9 Pm 0.2440 0.7563 0.9973  1 Tm 3.26, 3 Nd 3.41-3.49, 2 Tb 3.43-3.47, 2 Pm 3.45
10 Tm 0.0000 0.0000 0.0000  6 Pm 3.26-3.51, 2 Tm 3.45
11 Tm 0.5000 0.5000 0.5000  6 Pm 3.26-3.51, 2 Tm 3.45
12 Nd 0.5000 0.5000 0.0000  6 Pm 3.38-3.61, 2 Nd 3.45
13 Pm 0.2173 0.2204 0.4648  2 Tm 3.31-3.51, 1 Tb 3.32, 3 Nd 3.37-3.61, 2 Pm 3.45
14 Pm 0.7204 0.7173 0.9648  2 Tm 3.31-3.51, 1 Tb 3.32, 3 Nd 3.37-3.61, 2 Pm 3.45
15 Nd 0.0000 0.0000 0.5000  6 Pm 3.38-3.61, 2 Nd 3.45
16 Nd 0.5000 0.0000 0.5000  6 Pm 3.37-3.49, 2 Tb 3.45

Calculated values
- DFT formation energy (meV per atom) = 388

---

no.,total DFT energy (no corrections) (eV/atom)
1,-4.568
2,-4.324
3,-4.538
4,-4.317